This record from Alexandria via LeMat-Bulk describes an optimized crystal structure of TiHgNF2. The functional is GGA-PBE.

a = 4.513 Å, b = 4.513 Å, c = 4.157 Å
α = 90.00°, β = 90.00°, γ = 90.00°
Fractional coordinates of all 5 atoms:
N 0.000 0.000 0.500
F 0.000 0.500 0.000
F 0.500 0.000 0.000
Hg 0.000 0.000 0.000
Ti 0.500 0.500 0.500

Crystal system = tetragonal
Mass density = 5.89 g/cm³
Total moment = 0.264 μB/atom
Energy relative to the elements, uncorrected = 0.119 eV/atom

This record from Alexandria via LeMat-Bulk describes an optimized crystal structure of HfSnSe2N. The functional is GGA-PBE.

a = 5.339 Å, b = 5.339 Å, c = 4.052 Å
α = 90.00°, β = 90.00°, γ = 90.00°
Fractional coordinates of all 5 atoms:
Hf 0.000 0.000 0.000
Sn 0.500 0.500 0.500
Se 0.000 0.500 0.000
Se 0.500 0.000 0.000
N 0.000 0.000 0.500

Crystal system = tetragonal
Mass density = 6.74 g/cm³
Total moment = 0.153 μB/atom
Energy relative to the elements, uncorrected = -0.353 eV/atom

This record from Alexandria via LeMat-Bulk describes an optimized crystal structure of La2AgRh. The functional is GGA-PBE.

a = 5.646 Å, b = 5.646 Å, c = 5.646 Å
α = 133.12°, β = 133.12°, γ = 68.47°
Fractional coordinates of all 4 atoms:
La 0.000 0.000 0.000
La 0.250 0.750 0.500
Ag 0.750 0.250 0.500
Rh 0.500 0.500 0.000

Crystal system = tetragonal
Mass density = 8.61 g/cm³
Total moment = 0.000 μB/atom
DFT formation energy = -0.2888 eV per atom

This record from Alexandria via LeMat-Bulk describes an optimized crystal structure of ScZn3Fe. The functional is GGA-PBE.

a = 5.061 Å, b = 5.061 Å, c = 5.061 Å
α = 90.00°, β = 90.00°, γ = 90.00°
Fractional coordinates of all 5 atoms:
Sc 0.000 0.000 0.000
Zn 0.000 0.500 0.000
Zn 0.000 0.000 0.500
Zn 0.500 0.000 0.000
Fe 0.500 0.500 0.500

Crystal system = cubic
Mass density = 3.81 g/cm³
Total moment = 0.584 μB/atom
DFT formation energy = 1.2863 eV per atom

This record from Alexandria via LeMat-Bulk describes an optimized crystal structure of Cu6AgPd5. The functional is GGA-PBE.

a = 7.415 Å, b = 4.292 Å, c = 6.789 Å
α = 71.57°, β = 79.44°, γ = 54.57°
Fractional coordinates of all 12 atoms:
Cu 0.747 0.084 0.338
Cu 0.253 0.578 0.338
Cu 0.255 0.245 0.000
Cu 0.745 0.755 0.000
Cu 0.747 0.422 0.662
Cu 0.253 0.916 0.662
Ag 0.000 0.000 0.000
Pd 0.500 0.166 0.668
Pd 0.000 0.334 0.332
Pd 0.500 0.500 0.000
Pd 0.000 0.666 0.668
Pd 0.500 0.834 0.332

Crystal system = monoclinic
Mass density = 10.15 g/cm³
Total moment = 0.000 μB/atom
DFT formation energy = -0.1031 eV per atom

This record from Alexandria via LeMat-Bulk describes an optimized crystal structure of Zr3SbMo. The functional is GGA-PBE.

a = 5.184 Å, b = 5.184 Å, c = 5.184 Å
α = 90.00°, β = 90.00°, γ = 90.00°
Fractional coordinates of all 5 atoms:
Sb 0.000 0.000 0.000
Mo 0.500 0.500 0.500
Zr 0.000 0.500 0.000
Zr 0.000 0.000 0.500
Zr 0.500 0.000 0.000

Crystal system = cubic
Mass density = 5.86 g/cm³
Total moment = 0.000 μB/atom
Energy relative to the elements, uncorrected = 1.252 eV/atom

This record from Alexandria via LeMat-Bulk describes an optimized crystal structure of CoPRu2. The functional is GGA-PBE.

a = 5.019 Å, b = 5.019 Å, c = 4.236 Å
α = 65.07°, β = 65.07°, γ = 32.61°
Fractional coordinates of all 4 atoms:
Co 0.750 0.750 0.750
P 0.250 0.250 0.250
Ru 0.961 0.961 0.039
Ru 0.539 0.539 0.461

Crystal system = orthorhombic
Mass density = 9.39 g/cm³
Total moment = 0.367 μB/atom
DFT formation energy = -0.0787 eV per atom

This record from Alexandria via LeMat-Bulk describes an optimized crystal structure of AgBr. The functional is GGA-PBE.

a = 7.641 Å, b = 7.641 Å, c = 4.517 Å
α = 90.00°, β = 90.00°, γ = 90.00°
Fractional coordinates of all 8 atoms:
Ag 0.322 0.322 0.000
Ag 0.822 0.178 0.500
Ag 0.178 0.822 0.500
Ag 0.678 0.678 0.000
Br 0.314 0.686 0.000
Br 0.814 0.814 0.500
Br 0.186 0.186 0.500
Br 0.686 0.314 0.000

Crystal system = tetragonal
Mass density = 4.73 g/cm³
Total moment = 0.000 μB/atom
Energy relative to the elements, uncorrected = -0.330 eV/atom

This record from Alexandria via LeMat-Bulk describes an optimized crystal structure of Ba2MnAl. The functional is GGA-PBE.

a = 10.503 Å, b = 10.503 Å, c = 10.503 Å
α = 22.64°, β = 22.64°, γ = 22.64°
Fractional coordinates of all 4 atoms:
Mn 0.250 0.250 0.250
Ba 0.998 0.998 0.998
Ba 0.502 0.502 0.502
Al 0.750 0.750 0.750

Crystal system = trigonal
Mass density = 3.93 g/cm³
Total moment = 0.914 μB/atom
DFT formation energy = 0.5570 eV per atom

This record from Alexandria via LeMat-Bulk describes an optimized crystal structure of CeTlNi. The functional is GGA-PBE.

a = 3.560 Å, b = 4.656 Å, c = 4.656 Å
α = 120.00°, β = 90.00°, γ = 90.00°
Fractional coordinates of all 3 atoms:
Ni 0.167 0.333 0.667
Tl 0.167 0.000 0.000
Ce 0.667 0.667 0.333

Crystal system = hexagonal
Mass density = 10.02 g/cm³
Total moment = 0.125 μB/atom
DFT formation energy = -0.1814 eV per atom

This record from Alexandria via LeMat-Bulk describes an optimized crystal structure of Ti7ZnIn3. The functional is GGA-PBE.

a = 4.766 Å, b = 7.115 Å, c = 7.115 Å
α = 85.14°, β = 109.67°, γ = 109.67°
Fractional coordinates of all 11 atoms:
Ti 0.223 0.220 0.220
Ti 0.294 0.006 0.582
Ti 0.706 0.418 0.994
Ti 0.294 0.582 0.006
Ti 0.000 0.500 0.500
Ti 0.706 0.994 0.418
Ti 0.777 0.780 0.780
Zn 0.500 0.500 0.500
In 0.000 0.786 0.214
In 0.500 0.000 0.000
In 0.000 0.214 0.786

Crystal system = monoclinic
Mass density = 5.78 g/cm³
Total moment = 0.000 μB/atom
DFT formation energy = 0.1938 eV per atom